Below is a geometry-optimized La2TbNdTe5 structure, with properties calculated at the PBE-GGA level.

POSCAR file:
```
La2TbNdTe5
1.0
5.5315 0.0000 0.0000
0.0000 5.5315 0.0000
0.0000 0.0000 11.8086
La Te Nd Tb
2 5 1 1
Cartesian
2.7657 2.7657 7.8963
2.7657 2.7657 3.9123
0.0000 0.0000 2.9407
0.0000 2.7657 5.9043
2.7657 2.7657 0.0000
2.7657 0.0000 5.9043
0.0000 0.0000 8.8678
0.0000 0.0000 0.0000
0.0000 0.0000 5.9043
```

ΔE_f (raw) ... -0.97 eV per atom